Entry from Alexandria: a geometry-optimized SrFe2Ru structure (GGA-PBE).

Calculated values
**Fermi-level density of states**: 14.97 states/eV/f.u.
**VASP energy**: -5.952 eV per atom

Cell: 7.151 7.151 5.889 Å, 52.62 52.62 90.00°
Fractional coordinates of all 8 atoms:
Fe1 0.042 0.625 0.250
Fe2 0.708 0.125 0.250
Sr1 0.500 0.500 0.000
Sr2 0.250 0.750 0.500
Fe3 0.375 0.292 0.750
Ru1 0.000 0.000 0.000
Ru2 0.750 0.250 0.500
Fe4 0.875 0.958 0.750